(1)
## BaAlIN2 (GGA-PBE)

Data for an optimized crystal structure of BaAlIN2.

Calculated values
For the uncorrected formation energy, the calculation gives 1232 meV/atom. The crystal system is tetragonal. Its space group is P4/mmm, No. 123. The value obtained for the offset from the most stable computed form is 901 meV per atom.

POSCAR file:
```
BaAlIN2
1.0
5.2088 0.0000 0.0000
0.0000 5.2088 0.0000
0.0000 0.0000 7.0626
Ba Al I N
1 1 1 2
direct
0.0000 0.0000 0.0000
0.5000 0.5000 0.5000
0.0000 0.0000 0.5000
0.0000 0.5000 0.0000
0.5000 0.0000 0.0000
```



(2)
## CsErSn2 (GGA-PBE)

Data for an optimized crystal structure of CsErSn2.

Calculated values
The crystal system is tetragonal. Its space group is P4/mmm, No. 123. The calculation puts the formation energy at -1.64 eV per formula unit.

POSCAR file:
```
CsErSn2
1.0
4.0802 0.0000 0.0000
0.0000 4.0802 0.0000
0.0000 0.0000 8.5018
Cs Er Sn
1 1 2
direct
0.0000 0.0000 0.0000
0.0000 0.0000 0.5000
0.5000 0.5000 0.3283
0.5000 0.5000 0.6717
```



(3)
## YTmBeGa (GGA-PBE)

Data for an optimized crystal structure of YTmBeGa.

Calculated values
The crystal system is cubic. Its space group is F-43m, No. 216. The calculation puts the formation energy at -1.02 eV per formula unit.

POSCAR file:
```
YTmBeGa
1.0
0.0000 3.4727 3.4727
3.4727 0.0000 3.4727
3.4727 3.4727 0.0000
Y Tm Be Ga
1 1 1 1
direct
0.0000 0.0000 0.0000
0.5000 0.5000 0.5000
0.7500 0.7500 0.7500
0.2500 0.2500 0.2500
```



(4)
## Zr2MnZnPd (GGA-PBE)

Data for an optimized crystal structure of Zr2MnZnPd.

Calculated values
The crystal system is tetragonal. Its space group is P4/mmm, No. 123. The calculation puts the formation energy at 4.19 eV per formula unit.

POSCAR file:
```
Zr2MnZnPd
1.0
4.9376 0.0000 0.0000
0.0000 4.9376 0.0000
0.0000 0.0000 4.2271
Zr Mn Zn Pd
2 1 1 1
direct
0.0000 0.5000 0.0000
0.5000 0.0000 0.0000
0.0000 0.0000 0.5000
0.0000 0.0000 0.0000
0.5000 0.5000 0.5000
```



(5)
## PrDyPtPb (GGA-PBE)

Data for an optimized crystal structure of PrDyPtPb.

Calculated values
The crystal system is cubic. Its space group is F-43m, No. 216. The calculation puts the formation energy at -2.74 eV per formula unit.

POSCAR file:
```
PrDyPtPb
1.0
0.0000 3.7421 3.7421
3.7421 0.0000 3.7421
3.7421 3.7421 0.0000
Pr Dy Pt Pb
1 1 1 1
direct
0.0000 0.0000 0.0000
0.5000 0.5000 0.5000
0.7500 0.7500 0.7500
0.2500 0.2500 0.2500
```



(6)
## Li2PmCd2Pb2 (GGA-PBE)

Data for an optimized crystal structure of Li2PmCd2Pb2.

Calculated values
The crystal system is monoclinic. Its space group is C2/m, No. 12. The calculation puts the formation energy at -2.30 eV per formula unit.

POSCAR file:
```
Li2PmCd2Pb2
1.0
4.1632 -2.3953 0.0000
4.1632 2.3953 0.0000
-2.7257 0.0000 8.4641
Li Pm Cd Pb
2 1 2 2
direct
0.1428 0.1428 0.4305
0.8572 0.8572 0.5695
0.0000 0.0000 0.0000
0.4420 0.4420 0.3291
0.5580 0.5580 0.6709
0.2669 0.2669 0.7979
0.7331 0.7331 0.2021
```



(7)
## Nd7Tm4Pu (GGA-PBE)

Data for an optimized crystal structure of Nd7Tm4Pu.

Calculated values
The crystal system is monoclinic. Its space group is C2/m, No. 12. The calculation puts the formation energy at 2.68 eV per formula unit.

POSCAR file:
```
Nd7Tm4Pu
1.0
5.7051 -2.7644 0.0000
5.7051 2.7644 0.0000
-3.3282 0.0000 12.6477
Nd Tm Pu
7 4 1
direct
0.0000 0.0000 0.0000
0.1412 0.1412 0.4685
0.2760 0.2760 0.1056
0.3439 0.3439 0.7410
0.6561 0.6561 0.2590
0.7240 0.7240 0.8944
0.8588 0.8588 0.5315
0.0501 0.0501 0.7755
0.4106 0.4106 0.3750
0.5894 0.5894 0.6250
0.9499 0.9499 0.2245
0.5000 0.5000 0.0000
```



(8)
## MgTcIr (GGA-PBE)

Data for an optimized crystal structure of MgTcIr.

Calculated values
The crystal system is orthorhombic. Its space group is Pnma, No. 62. The calculation puts the formation energy at 0.05 eV per formula unit. The value obtained for the offset from the most stable computed form is 213 meV per atom.

POSCAR file:
```
MgTcIr
1.0
5.2838 0.0000 0.0000
0.0000 4.1593 0.0000
0.0000 0.0000 8.4269
Mg Tc Ir
4 4 4
direct
0.1301 0.2500 0.0798
0.3699 0.7500 0.5798
0.6301 0.2500 0.4202
0.8699 0.7500 0.9202
0.0847 0.2500 0.7273
0.4153 0.7500 0.2273
0.5847 0.2500 0.7727
0.9153 0.7500 0.2727
0.1271 0.2500 0.4125
0.3729 0.7500 0.9125
0.6271 0.2500 0.0875
0.8729 0.7500 0.5875
```



(9)
## LaTb2Er (GGA-PBE)

Data for an optimized crystal structure of LaTb2Er.

Calculated values
The crystal system is tetragonal. Its space group is P4/mmm, No. 123. The calculation puts the formation energy at 0.12 eV per formula unit. The value obtained for the offset from the most stable computed form is 22 meV per atom.

POSCAR file:
```
LaTb2Er
1.0
3.5988 0.0000 0.0000
0.0000 3.5988 0.0000
0.0000 0.0000 10.1631
La Tb Er
1 2 1
direct
0.0000 0.0000 0.0000
0.5000 0.5000 0.2580
0.5000 0.5000 0.7420
0.0000 0.0000 0.5000
```



(10)
## Dy2YTm6Sc3 (GGA-PBE)

Data for an optimized crystal structure of Dy2YTm6Sc3.

Calculated values
The crystal system is monoclinic. Its space group is C2/m, No. 12. The calculation puts the formation energy at 0.55 eV per formula unit.

POSCAR file:
```
Dy2YTm6Sc3
1.0
2.9949 -5.1822 0.0000
2.9949 5.1822 0.0000
-1.9901 0.0000 11.2162
Dy Y Tm Sc
2 1 6 3
direct
0.1667 0.8333 0.0000
0.8333 0.1667 0.0000
0.5000 0.5000 0.0000
0.0796 0.4135 0.7407
0.2525 0.2525 0.2593
0.4135 0.0796 0.7407
0.5865 0.9204 0.2593
0.7475 0.7475 0.7407
0.9204 0.5865 0.2593
0.0000 0.0000 0.5000
0.3334 0.6666 0.5000
0.6666 0.3334 0.5000
```



(11)
## AgB2SF (GGA-PBE)

Data for an optimized crystal structure of AgB2SF.

Calculated values
For the uncorrected formation energy, the calculation gives 935 meV/atom. The crystal system is tetragonal. Its space group is P4/mmm, No. 123. The value obtained for the offset from the most stable computed form is 0 meV per atom.

POSCAR file:
```
AgB2SF
1.0
3.7349 0.0000 0.0000
0.0000 3.7349 0.0000
0.0000 0.0000 5.3564
Ag B S F
1 2 1 1
direct
0.0000 0.0000 0.0000
0.0000 0.5000 0.5000
0.5000 0.0000 0.5000
0.0000 0.0000 0.5000
0.5000 0.5000 0.0000
```



(12)
## Al2Ni3 (GGA-PBE)

Data for an optimized crystal structure of Al2Ni3.

Calculated values
The crystal system is tetragonal. Its space group is P4/mmm, No. 123. The calculation puts the formation energy at -2.61 eV per formula unit. The value obtained for the offset from the most stable computed form is 0 meV per atom.

POSCAR file:
```
Al2Ni3
1.0
2.9252 0.0000 0.0000
0.0000 2.9252 0.0000
0.0000 0.0000 13.8294
Al Ni
4 6
direct
0.0000 0.0000 0.1020
0.0000 0.0000 0.3085
0.0000 0.0000 0.6915
0.0000 0.0000 0.8980
0.0000 0.0000 0.5000
0.5000 0.5000 0.0000
0.5000 0.5000 0.2036
0.5000 0.5000 0.4036
0.5000 0.5000 0.5964
0.5000 0.5000 0.7964
```



> What is the formula in the fourth record?

Zr2MnZnPd



What did the eleventh record say?
## AgB2SF (GGA-PBE)

Data for an optimized crystal structure of AgB2SF.

Calculated values
For the uncorrected formation energy, the calculation gives 935 meV/atom. The crystal system is tetragonal. Its space group is P4/mmm, No. 123. The value obtained for the offset from the most stable computed form is 0 meV per atom.

POSCAR file:
```
AgB2SF
1.0
3.7349 0.0000 0.0000
0.0000 3.7349 0.0000
0.0000 0.0000 5.3564
Ag B S F
1 2 1 1
direct
0.0000 0.0000 0.0000
0.0000 0.5000 0.5000
0.5000 0.0000 0.5000
0.0000 0.0000 0.5000
0.5000 0.5000 0.0000
```